(1)
Compound: Sm5Tm8In
Source: the Alexandria database
Functional: PBE
Structure: optimized geometry

a = 12.4811 Å, b = 10.9608 Å, c = 8.9227 Å
α = 90.00°, β = 133.48°, γ = 90.00°
Closest atoms and distances in Å follow each position.
Space group C2 (No. 5)
Symmetry-distinct sites (fractional):
1 Sm 0.0000 0.0000 0.0000 x2  4 Tm 3.26-3.56
2 Sm 0.1747 0.5040 0.3835 x4  7 Tm 3.25-3.55, 1 Sm 3.32, 1 In 3.43
3 Sm 0.2074 0.3091 0.1328 x4  1 Sm 3.32, 7 Tm 3.32-3.62, 1 In 3.48
4 Tm 0.0649 0.2260 0.3564 x4  1 In 3.11, 3 Sm 3.28-3.39, 3 Tm 3.36-3.47
5 Tm 0.0659 0.7805 0.3498 x4  1 In 3.15, 4 Sm 3.25-3.46, 3 Tm 3.26-3.51
6 Tm 0.1518 0.5008 0.7588 x4  5 Sm 3.26-3.62, 3 Tm 3.41-3.60
7 Tm 0.2028 0.6962 0.1284 x4  6 Tm 3.26-3.60, 2 Sm 3.29-3.44, 1 In 3.51
8 In 0.0000 0.0030 0.5000 x2  4 Tm 3.11-3.15, 4 Sm 3.43-3.48

Properties
The value obtained for the raw total energy is -4.338 eV per atom. As for the density of states at the Fermi level: 1.568 states/eV/atom. Its energy of formation from the pure elements is 98 meV per atom.


(2)
Compound: NaTl2Cu2Br7
Source: the Alexandria database
Functional: PBE
Structure: optimized geometry

a = 7.3225 Å, b = 7.3223 Å, c = 13.5783 Å
α = 90.00°, β = 105.55°, γ = 90.00°
Closest atoms and distances in Å follow each position.
Space group C2/m (No. 12)
Symmetry-distinct sites (fractional):
1 Na 0.0000 0.0000 0.0000 x2  12 Br 3.51-3.66
2 Tl 0.1789 0.0000 0.3570 x4  9 Br 3.36-3.69
3 Cu 0.0963 0.5000 0.1949 x4  6 Br 2.50-2.60
4 Br 0.0000 0.5000 0.0000 x2  2 Cu 2.55
5 Br 0.1602 0.2500 0.8188 x8  2 Cu 2.59-2.60
6 Br 0.1915 0.5000 0.3861 x4  1 Cu 2.50

Properties
The value obtained for the raw total energy is -2.794 eV per atom. As for the density of states at the Fermi level: 0.251 states/eV/atom. For the uncorrected formation energy, the calculation gives -730 kJ/mol of formula units.


(3)
Compound: PmErTh
Source: the Alexandria database
Functional: PBE
Structure: optimized geometry

a = 3.5843 Å, b = 3.5843 Å, c = 8.7522 Å
α = 90.00°, β = 90.00°, γ = 120.00°
Closest atoms and distances in Å follow each position.
Space group P3m1 (No. 156)
Symmetry-distinct sites (fractional):
1 Pm 0.0000 0.0000 0.0000 x1  3 Th 3.57, 6 Pm 3.58, 3 Er 3.68
2 Er 0.6667 0.3333 0.3476 x1  3 Th 3.49, 6 Er 3.58, 3 Pm 3.68
3 Th 0.3333 0.6667 0.6680 x1  3 Er 3.49, 3 Pm 3.57, 6 Th 3.58

Properties
The value obtained for the raw total energy is -5.549 eV per atom. As for the density of states at the Fermi level: 1.622 states/eV/atom. Its energy above the most stable polymorph in this dataset is 3.5 meV per atom. Its energy of formation from the pure elements is 29 meV per atom.


(4)
Compound: PuReB3
Source: the Alexandria database
Functional: PBE
Structure: optimized geometry

a = 3.7601 Å, b = 19.0233 Å, c = 3.0570 Å
α = 90.00°, β = 90.00°, γ = 90.00°
Closest atoms and distances in Å follow each position.
Space group Cmcm (No. 63)
Symmetry-distinct sites (fractional):
1 Pu 0.0000 0.0726 0.2500 x4  12 B 2.59-2.74
2 Re 0.0000 0.2058 0.7500 x4  7 B 2.22-2.48
3 B 0.0000 0.3226 0.7500 x4  2 B 1.78
4 B 0.0000 0.3710 0.2500 x4  3 B 1.78-1.99
5 B 0.0000 0.4758 0.2500 x4  3 B 1.78-1.99

Properties
The value obtained for the raw total energy is -9.630 eV per atom. As for the density of states at the Fermi level: 1.106 states/eV/atom. Its energy of formation from the pure elements is -268 meV per atom.


(5)
Compound: Sn2TePd
Source: the Alexandria database
Functional: PBE
Structure: optimized geometry

a = 6.6004 Å, b = 6.6004 Å, c = 12.2852 Å
α = 90.00°, β = 90.00°, γ = 90.00°
Closest atoms and distances in Å follow each position.
Space group I-42d (No. 122)
Symmetry-distinct sites (fractional):
1 Sn 0.1962 0.2500 0.1250 x8  2 Pd 2.60
2 Te 0.0000 0.0000 0.5000 x4  4 Sn 3.02
3 Pd 0.0000 0.0000 0.0000 x4  4 Sn 2.60

Properties
The value obtained for the raw total energy is -4.205 eV per atom. As for the density of states at the Fermi level: 0.116 states/eV/atom. For the uncorrected formation energy, the calculation gives -46 kJ/mol of formula units.


(6)
Compound: RbAcCd4
Source: the Alexandria database
Functional: PBE
Structure: optimized geometry

a = 8.9764 Å, b = 8.9764 Å, c = 8.9764 Å
α = 90.00°, β = 90.00°, γ = 90.00°
Closest atoms and distances in Å follow each position.
Space group F-43m (No. 216)
Symmetry-distinct sites (fractional):
1 Rb 0.0000 0.0000 0.0000 x4  12 Cd 3.72, 4 Ac 3.89
2 Ac 0.2500 0.2500 0.2500 x4  12 Cd 3.72, 4 Rb 3.89
3 Cd 0.1246 0.1246 0.6246 x16  6 Cd 3.16-3.18

Properties
The value obtained for the raw total energy is -1.536 eV per atom. As for the density of states at the Fermi level: 0.963 states/eV/atom. Its energy of formation from the pure elements is -80 meV per atom.


Number 1 is which compound?
Sm5Tm8In


What is the raw total energy in the sixth record?
-1.536 eV per atom


What is the formula in the third record?
PmErTh